Here is Ba5Sn2 after structural relaxation from Alexandria via LeMat-Bulk. Energies are from GGA-PBE.

## Properties
**DOS(E_F)**: 6.951 states/eV per cell
**DFT formation energy**: -0.473 eV per atom
**Total magnetic moment**: 0.000 μB per formula unit

```
14
Lattice="8.417 0.000 0.000 0.000 8.356 0.303 -4.209 -0.975 9.560" Properties=species:S:1:pos:R:3 pbc="T T T"
Ba 3.056 3.754 8.062
Ba -3.056 -0.424 7.910
Ba 3.799 6.169 4.579
Sn 1.990 7.241 7.766
Ba 1.153 3.627 1.801
Ba 7.264 7.805 1.953
Ba 4.618 1.992 4.427
Ba 4.490 2.089 0.076
Ba -0.410 5.389 5.436
Ba 0.410 1.211 5.284
Sn -1.990 3.063 7.615
Ba 3.928 6.267 0.227
Sn 2.219 0.140 2.097
Sn 6.199 4.318 2.248
```

Here is BaSn6 after structural relaxation from Alexandria via LeMat-Bulk. Energies are from GGA-PBE.

## Properties
**DOS(E_F)**: 6.979 states/eV per cell
**DFT formation energy**: 0.380 eV per atom
**Total magnetic moment**: 0.000 μB per formula unit

```
7
Lattice="7.196 0.000 0.000 0.000 7.196 0.000 0.000 0.000 7.196" Properties=species:S:1:pos:R:3 pbc="T T T"
Sn 1.414 3.598 3.598
Sn 3.598 3.598 1.414
Ba 0.000 0.000 0.000
Sn 3.598 1.414 3.598
Sn 3.598 3.598 5.781
Sn 5.781 3.598 3.598
Sn 3.598 5.781 3.598
```

Here is Ba5Sn2 after structural relaxation from Alexandria via LeMat-Bulk. Energies are from GGA-PBE.

## Properties
**DOS(E_F)**: 10.454 states/eV per cell
**DFT formation energy**: -0.446 eV per atom
**Total magnetic moment**: 1.704 μB per formula unit

```
14
Lattice="-3.354 -6.971 -1.119 0.584 1.180 -9.099 9.267 -0.900 5.122" Properties=species:S:1:pos:R:3 pbc="T T T"
Ba 1.309 -0.414 -1.345
Ba -2.224 -4.638 -5.389
Ba 3.142 -2.928 -4.823
Ba 0.043 -3.069 -8.309
Ba 3.355 -3.762 -0.273
Ba 5.033 -0.277 0.287
Ba -0.547 -1.153 -4.829
Ba 5.188 -6.277 -3.750
Sn 0.418 -4.153 -2.681
Sn 6.079 -2.538 -2.414
Ba 6.455 -3.622 3.214
Sn 4.091 -6.652 1.875
Sn 2.406 -0.039 -6.970
Ba 1.464 -6.414 -5.382
```

Here is BaSn2 after structural relaxation from Alexandria via LeMat-Bulk. Energies are from GGA-PBE.

## Properties
**DOS(E_F)**: 0.267 states/eV per cell
**DFT formation energy**: -0.585 eV per atom
**Total magnetic moment**: 0.000 μB per formula unit

```
3
Lattice="-3.801 2.728 -0.865 0.716 -1.768 4.358 2.947 4.536 1.355" Properties=species:S:1:pos:R:3 pbc="T T T"
Sn 0.347 5.295 2.091
Ba 1.473 2.268 0.678
Sn -0.484 0.201 2.757
```

Here is Ba5Sn3 after structural relaxation from Alexandria via LeMat-Bulk. Energies are from GGA-PBE.

## Properties
**DOS(E_F)**: 5.300 states/eV per cell
**DFT formation energy**: -0.622 eV per atom
**Total magnetic moment**: 0.141 μB per formula unit

```
16
Lattice="10.794 -0.001 0.000 3.228 10.300 0.000 -7.011 -5.150 6.391" Properties=species:S:1:pos:R:3 pbc="T T T"
Ba 5.545 2.943 3.195
Ba 7.011 5.150 0.000
Sn 8.903 2.575 1.722
Ba 3.114 6.252 0.910
Sn 5.992 6.538 3.195
Ba -0.114 -4.048 5.480
Ba -2.544 -0.739 3.195
Ba 0.000 0.000 0.000
Ba 3.897 -1.102 5.480
Ba 9.556 5.889 3.195
Ba 7.125 9.198 0.910
Sn 1.019 -1.388 3.195
Ba 1.466 2.207 3.195
Sn 3.506 2.575 0.000
Sn -1.892 2.575 4.669
Sn 10.517 7.725 0.000
```

Here is BaSn5 after structural relaxation from Alexandria via LeMat-Bulk. Energies are from GGA-PBE.

## Properties
**DOS(E_F)**: 3.307 states/eV per cell
**DFT formation energy**: -0.294 eV per atom
**Total magnetic moment**: 0.000 μB per formula unit

```
6
Lattice="4.627 0.000 0.000 2.313 6.609 0.213 2.313 2.237 6.223" Properties=species:S:1:pos:R:3 pbc="T T T"
Sn 6.940 6.761 3.084
Ba 2.313 0.000 0.000
Sn 6.940 5.015 5.484
Sn 4.627 4.423 3.218
Sn 2.313 3.832 0.952
Sn 2.313 2.085 3.353
```

Here is BaSn12 after structural relaxation from Alexandria via LeMat-Bulk. Energies are from GGA-PBE.

## Properties
**DOS(E_F)**: 11.712 states/eV per cell
**DFT formation energy**: 0.167 eV per atom
**Total magnetic moment**: 0.000 μB per formula unit

```
13
Lattice="8.985 0.000 0.000 4.492 7.781 0.000 4.492 2.594 7.336" Properties=species:S:1:pos:R:3 pbc="T T T"
Sn 8.985 6.950 1.175
Sn 7.458 2.543 3.668
Sn 10.512 7.832 3.668
Sn 10.512 2.543 3.668
Sn 12.038 5.187 3.668
Sn 7.458 6.069 6.161
Sn 5.931 5.187 3.668
Ba 0.000 0.000 0.000
Sn 7.458 7.832 3.668
Sn 10.512 6.069 6.161
Sn 8.985 3.424 6.161
Sn 7.458 4.306 1.175
Sn 10.512 4.306 1.175
```

Here is Ba3Sn after structural relaxation from Alexandria via LeMat-Bulk. Energies are from GGA-PBE.

## Properties
**DOS(E_F)**: 3.249 states/eV per cell
**DFT formation energy**: -0.337 eV per atom
**Total magnetic moment**: 0.000 μB per formula unit

```
4
Lattice="-3.057 -3.579 3.051 3.743 0.351 4.162 -2.847 4.304 2.197" Properties=species:S:1:pos:R:3 pbc="T T T"
Ba -2.952 0.363 2.624
Ba 0.448 2.328 3.180
Sn 0.000 0.000 0.000
Ba 0.343 -1.614 3.607
```

Repeat the third record exactly.
Here is Ba5Sn2 after structural relaxation from Alexandria via LeMat-Bulk. Energies are from GGA-PBE.

## Properties
**DOS(E_F)**: 10.454 states/eV per cell
**DFT formation energy**: -0.446 eV per atom
**Total magnetic moment**: 1.704 μB per formula unit

```
14
Lattice="-3.354 -6.971 -1.119 0.584 1.180 -9.099 9.267 -0.900 5.122" Properties=species:S:1:pos:R:3 pbc="T T T"
Ba 1.309 -0.414 -1.345
Ba -2.224 -4.638 -5.389
Ba 3.142 -2.928 -4.823
Ba 0.043 -3.069 -8.309
Ba 3.355 -3.762 -0.273
Ba 5.033 -0.277 0.287
Ba -0.547 -1.153 -4.829
Ba 5.188 -6.277 -3.750
Sn 0.418 -4.153 -2.681
Sn 6.079 -2.538 -2.414
Ba 6.455 -3.622 3.214
Sn 4.091 -6.652 1.875
Sn 2.406 -0.039 -6.970
Ba 1.464 -6.414 -5.382
```